Run i
The following is a DFT calculation (GGA-PBEsol) of a relaxed structure of La2TlRh.

Cell lengths 3.9081, 3.7567, 7.1817 Å; angles 90.00, 97.85, 90.00 degrees
Last column: nearest neighbours and their distance in Å.
Space group P2/m (No. 10)
Symmetry-distinct sites (fractional):
La (0.0810, 0.0000, 0.2849) [2 per cell]  2 Rh 2.81
Tl (0.5000, 0.5000, 0.0000) [1 per cell]  8 La 3.36-3.41, 2 Rh 3.59, 2 Tl 3.76
Rh (0.5000, 0.5000, 0.5000) [1 per cell]  4 La 2.81

***

Run ii
The following is a DFT calculation (GGA-PBEsol) of a relaxed structure of La2TlRh.

Cell lengths 4.0187, 4.7734, 11.2175 Å; angles 90.00, 90.00, 90.00 degrees
Last column: nearest neighbours and their distance in Å.
Space group Amm2 (No. 38)
Symmetry-distinct sites (fractional):
La (0.0000, 0.0000, 0.0000) [2 per cell]  1 Rh 2.52
La (0.5000, 0.0000, 0.3020) [2 per cell]  4 Rh 3.13, 3 Tl 3.30-3.32
Tl (0.5000, 0.0000, 0.5959) [2 per cell]  2 Rh 2.84
Rh (0.0000, 0.0000, 0.7752) [2 per cell]  1 La 2.52

***

Run iii
The following is a DFT calculation (GGA-PBEsol) of a relaxed structure of La2TlRh.

Cell lengths 3.5205, 3.5205, 8.3060 Å; angles 90.00, 90.00, 90.00 degrees
Last column: nearest neighbours and their distance in Å.
Space group P4/mmm (No. 123)
Symmetry-distinct sites (fractional):
La (0.0000, 0.0000, 0.2079) [2 per cell]  4 Rh 3.03
Tl (0.5000, 0.5000, 0.5000) [1 per cell]  8 La 3.48, 4 Tl 3.52
Rh (0.5000, 0.5000, 0.0000) [1 per cell]  8 La 3.03

***

run iii has the most favorable energy; the next structure is 1.9 kJ/mol of atoms above.

***

Run i
The following is a DFT calculation (GGA-PBEsol) of a relaxed structure of LaRhW2.

Cell lengths 10.4700, 2.8384, 4.9950 Å; angles 90.00, 103.14, 90.00 degrees
Last column: nearest neighbours and their distance in Å.
Space group C2/m (No. 12)
Symmetry-distinct sites (fractional):
La (0.0000, 0.0000, 0.0000) [2 per cell]  2 La 2.84, 4 Rh 2.87, 2 W 2.97
Rh (0.0000, 0.5000, 0.5000) [2 per cell]  4 W 2.72, 2 Rh 2.84, 4 La 2.87
W (0.2210, 0.0000, 0.7189) [4 per cell]  2 Rh 2.72, 4 W 2.79-2.84, 1 La 2.97

***

Run ii
The following is a DFT calculation (GGA-PBEsol) of a relaxed structure of LaRhW2.

Cell lengths 3.1733, 3.1733, 7.3928 Å; angles 90.00, 90.00, 90.00 degrees
Last column: nearest neighbours and their distance in Å.
Space group P4mm (No. 99)
Symmetry-distinct sites (fractional):
La (0.0000, 0.0000, 0.0000) [1 per cell]  4 Rh 3.16, 4 W 3.17, 4 La 3.17
Rh (0.5000, 0.5000, 0.3009) [1 per cell]  5 W 2.72-2.93
W (0.0000, 0.0000, 0.5082) [1 per cell]  4 W 2.65, 4 Rh 2.72
W (0.5000, 0.5000, 0.6978) [1 per cell]  4 W 2.65, 1 Rh 2.93

***

run ii has the most favorable energy; the next structure is 17.5 kJ/mol of atoms above.

***

Run i
The following is a DFT calculation (GGA-PBEsol) of a relaxed structure of LaRhW2.

Cell lengths 3.8659, 3.8659, 10.0355 Å; angles 90.00, 90.00, 90.00 degrees
Last column: nearest neighbours and their distance in Å.
Space group I4/mmm (No. 139)
Symmetry-distinct sites (fractional):
La (0.0000, 0.0000, 0.0000) [2 per cell]  4 Rh 2.73
Rh (0.0000, 0.0000, 0.5000) [2 per cell]  4 La 2.73
W (0.0000, 0.5000, 0.2500) [4 per cell]  4 W 2.73

***

Run ii
The following is a DFT calculation (GGA-PBEsol) of a relaxed structure of LaRhW2.

Cell lengths 4.7552, 4.7552, 3.0734 Å; angles 90.00, 90.00, 90.00 degrees
Last column: nearest neighbours and their distance in Å.
Space group P4/mmm (No. 123)
Symmetry-distinct sites (fractional):
La (0.0000, 0.0000, 0.0000) [1 per cell]  8 W 2.83, 2 La 3.07
Rh (0.5000, 0.5000, 0.0000) [1 per cell]  8 W 2.83, 2 Rh 3.07
W (0.0000, 0.5000, 0.5000) [2 per cell]  4 La 2.83, 4 Rh 2.83, 2 W 3.07

***

Run iii
The following is a DFT calculation (GGA-PBEsol) of a relaxed structure of LaRhW2.

Cell lengths 3.3143, 3.3143, 7.1185 Å; angles 90.00, 90.00, 90.00 degrees
Last column: nearest neighbours and their distance in Å.
Space group P4/mmm (No. 123)
Symmetry-distinct sites (fractional):
La (0.0000, 0.0000, 0.0000) [1 per cell]  8 W 3.31, 4 La 3.31, 2 Rh 3.56
Rh (0.0000, 0.0000, 0.5000) [1 per cell]  8 W 2.64
W (0.5000, 0.5000, 0.3288) [2 per cell]  1 W 2.44, 4 Rh 2.64

***

run iii has the most favorable energy; the next structure is 4.9 kJ/mol of atoms above.

***

Run i
The following is a DFT calculation (GGA-PBEsol) of a relaxed structure of La2RhW.

Cell lengths 6.2515, 9.2989, 3.1129 Å; angles 90.00, 113.39, 90.00 degrees
Last column: nearest neighbours and their distance in Å.
Space group C2/m (No. 12)
Symmetry-distinct sites (fractional):
La (0.2500, 0.2500, 0.0000) [4 per cell]  2 W 2.89, 2 Rh 2.89, 4 La 3.11-3.13
Rh (0.0000, 0.0000, 0.5000) [2 per cell]  4 La 2.89, 2 Rh 3.11, 2 W 3.13
W (0.0000, 0.5000, 0.5000) [2 per cell]  4 La 2.89, 2 W 3.11, 2 Rh 3.13

***

Run ii
The following is a DFT calculation (GGA-PBEsol) of a relaxed structure of La2RhW.

Cell lengths 3.4341, 4.5632, 5.2957 Å; angles 90.00, 90.00, 90.00 degrees
Last column: nearest neighbours and their distance in Å.
Space group Pmmm (No. 47)
Symmetry-distinct sites (fractional):
La (0.0000, 0.0000, 0.0000) [1 per cell]  4 W 2.86, 4 La 3.16
La (0.5000, 0.0000, 0.5000) [1 per cell]  4 Rh 2.86, 4 La 3.16
Rh (0.0000, 0.5000, 0.5000) [1 per cell]  4 La 2.86, 4 W 3.16
W (0.5000, 0.5000, 0.0000) [1 per cell]  4 La 2.86, 4 Rh 3.16

***

run ii has the most favorable energy; the next structure is 4.0 kJ/mol of atoms above.